Here is a relaxed structure of AcLa2Zn4 from the Alexandria database. Energies are from PBE-GGA.

Summary:
calculated total energy = -2.7775 eV per atom
E_form = -0.05 eV/atom
DOS(E_F) = 7.06 states/eV per cell
SG = R-3m

Geometry as POSCAR:
```
AcLa2Zn4
1.0
2.594 1.498 8.901
-2.594 1.498 8.901
0.000 -2.996 8.901
Ac La Zn
1 2 4
Cartesian
0.000 0.000 0.000
0.000 0.000 6.301
0.000 0.000 20.401
0.000 0.000 3.201
0.000 0.000 10.522
0.000 0.000 16.180
0.000 0.000 23.501
```